1.
# Sr2FeMoO6 meta-GGA SCAN single point on PBEsol structure
# - Total moment: 0.00 μB/f.u.
# - Formation energy (no corrections): -2562 meV per atom
# - Total energy: -16.057 eV per atom
data_Sr2FeMoO6
_chemical_formula_sum 'Sr8 Fe4 Mo4 O24'
_cell_length_a 7.6741
_cell_length_b 7.6741
_cell_length_c 7.6741
_cell_angle_alpha 90.00
_cell_angle_beta 90.00
_cell_angle_gamma 90.00
_space_group_name_H-M_alt 'F m -3 m'
_space_group_IT_number 225
_space_group_name_Hall '-F 4 2 3'
loop_
_atom_site_label
_atom_site_fract_x
_atom_site_fract_y
_atom_site_fract_z
Sr1 0.2500 0.2500 0.2500
Fe1 0.0000 0.0000 0.0000
Mo1 0.0000 0.0000 0.5000
O1 0.0000 0.0000 0.2487

2.
# FeMoOs2 meta-GGA SCAN single point on PBEsol structure
# - Calculated formation energy: 0.288 eV/atom
# - Total moment: 2.89 μB/f.u.
# - Polymorph energy (0 for the lowest one): 241 meV/atom
# - Total energy: -48.906 eV per atom
data_FeMoOs2
_chemical_formula_sum 'Fe1 Mo1 Os2'
_cell_length_a 2.8519
_cell_length_b 4.3712
_cell_length_c 4.4487
_cell_angle_alpha 90.00
_cell_angle_beta 90.00
_cell_angle_gamma 90.00
_space_group_name_H-M_alt 'P m m m'
_space_group_IT_number 47
loop_
_space_group_symop_operation_xyz
'x,y,z'
'-x,-y,-z'
'-x,-y,z'
'x,y,-z'
'x,-y,-z'
'-x,y,z'
'-x,y,-z'
'x,-y,z'
loop_
_atom_site_label
_atom_site_fract_x
_atom_site_fract_y
_atom_site_fract_z
Fe1 0.0000 0.0000 0.0000
Mo1 0.5000 0.0000 0.5000
Os1 0.0000 0.5000 0.5000
Os2 0.5000 0.5000 0.0000

3.
# FeMoOs2 meta-GGA SCAN single point on PBEsol structure
# - Calculated formation energy: 0.156 eV/atom
# - Total moment: 1.93 μB/f.u.
# - Polymorph energy (0 for the lowest one): 109 meV/atom
# - Total energy: -49.038 eV per atom
data_FeMoOs2
_chemical_formula_sum 'Fe2 Mo2 Os4'
_cell_length_a 5.3436
_cell_length_b 7.5048
_cell_length_c 2.6846
_cell_angle_alpha 90.00
_cell_angle_beta 90.00
_cell_angle_gamma 90.00
_space_group_name_H-M_alt 'C m m m'
_space_group_IT_number 65
_space_group_name_Hall '-C 2 2'
loop_
_atom_site_label
_atom_site_fract_x
_atom_site_fract_y
_atom_site_fract_z
Fe1 0.0000 0.0000 0.0000
Mo1 0.0000 0.5000 0.0000
Os1 0.2500 0.2500 0.5000

4.
# FeMoOs2 meta-GGA SCAN single point on PBEsol structure
# - Calculated formation energy: 0.189 eV/atom
# - Total moment: 2.58 μB/f.u.
# - Polymorph energy (0 for the lowest one): 143 meV/atom
# - Total energy: -49.004 eV per atom
data_FeMoOs2
_chemical_formula_sum 'Fe2 Mo2 Os4'
_cell_length_a 2.7649
_cell_length_b 4.3569
_cell_length_c 9.1262
_cell_angle_alpha 90.00
_cell_angle_beta 90.00
_cell_angle_gamma 90.00
_space_group_name_H-M_alt 'I m m m'
_space_group_IT_number 71
_space_group_name_Hall '-I 2 2'
loop_
_atom_site_label
_atom_site_fract_x
_atom_site_fract_y
_atom_site_fract_z
Fe1 0.0000 0.0000 0.0000
Mo1 0.0000 0.0000 0.5000
Os1 0.0000 0.5000 0.2792